(1)
Density functional theory data (PBE-GGA) for LiHoTm2Te4 after structural relaxation.

Total magnetization   0.0 Bohr magnetons per cell
Formation energy (no corrections)   -971 kJ/mol of formula units

```
8
Lattice="7.452 0.000 0.000 0.000 4.277 0.000 -2.449 0.000 7.055" Properties=species:S:1:pos:R:3 pbc="T T T"
Li 0.000 0.000 0.000
Ho -1.225 2.139 3.527
Tm 2.501 0.000 3.527
Tm 3.726 2.139 0.000
Te 1.231 2.139 1.716
Te -0.005 0.000 5.334
Te 5.008 0.000 1.721
Te 3.771 2.139 5.339
```



(2)
Density functional theory data (PBE-GGA) for LiHo3Tm3Te8 after structural relaxation.

Total magnetization   0.0 Bohr magnetons per cell
Formation energy (no corrections)   -1854 kJ/mol of formula units

```
15
Lattice="4.302 2.484 7.032 -4.302 2.484 7.032 0.000 -4.968 7.032" Properties=species:S:1:pos:R:3 pbc="T T T"
Li 0.000 0.000 0.000
Ho -4.302 0.000 10.549
Ho -2.151 1.242 3.516
Ho 2.151 1.242 3.516
Tm -2.151 -1.242 7.032
Tm -2.151 1.242 14.065
Tm 0.000 2.484 7.032
Te 0.000 -2.475 8.776
Te -2.144 1.238 8.776
Te 0.000 0.000 5.293
Te -2.144 -1.238 12.321
Te 2.144 1.238 8.776
Te 0.000 0.000 15.804
Te 2.144 -1.238 12.321
Te 0.000 2.475 12.321
```



(3)
Density functional theory data (PBE-GGA) for Li3HoTm2Te6 after structural relaxation.

Total magnetization   0.0 Bohr magnetons per cell
Formation energy (no corrections)   -1478 kJ/mol of formula units

```
12
Lattice="3.732 -6.465 0.000 3.732 6.465 0.000 -2.488 0.000 7.049" Properties=species:S:1:pos:R:3 pbc="T T T"
Li 0.000 0.000 0.000
Li 3.732 2.151 0.000
Li 3.732 -2.151 0.000
Ho 2.488 0.000 3.525
Tm 2.488 4.310 3.525
Tm 2.488 -4.310 3.525
Te 1.237 2.167 1.741
Te -0.014 0.000 5.310
Te 1.237 -2.167 1.741
Te 3.739 2.167 5.308
Te 4.991 0.000 1.739
Te 3.739 -2.167 5.308
```



(4)
Density functional theory data (PBE-GGA) for Li3Ho2TmTe6 after structural relaxation.

Total magnetization   0.0 Bohr magnetons per cell
Formation energy (no corrections)   -1484 kJ/mol of formula units

```
12
Lattice="3.740 -6.478 0.000 3.740 6.478 0.000 -2.494 0.000 7.052" Properties=species:S:1:pos:R:3 pbc="T T T"
Li 0.000 0.000 0.000
Li 3.740 2.166 0.000
Li 3.740 -2.166 0.000
Ho 2.493 4.320 3.526
Ho 2.493 -4.320 3.526
Tm 2.493 0.000 3.526
Te 1.254 2.147 1.737
Te 0.014 0.000 5.315
Te 1.254 -2.147 1.737
Te 3.732 2.147 5.315
Te 4.972 0.000 1.737
Te 3.732 -2.147 5.315
```



(5)
Density functional theory data (PBE-GGA) for LiHo2Tm3Te6 after structural relaxation.

Total magnetization   0.0 Bohr magnetons per cell
Formation energy (no corrections)   -1444 kJ/mol of formula units

```
12
Lattice="9.395 -2.149 0.000 9.395 2.149 0.000 -1.981 0.000 8.379" Properties=species:S:1:pos:R:3 pbc="T T T"
Li 0.000 0.000 0.000
Ho 4.891 0.000 5.519
Ho 11.919 0.000 2.860
Tm -0.990 0.000 4.190
Tm 5.883 0.000 1.418
Tm 10.927 0.000 6.961
Te 2.900 0.000 0.665
Te 1.922 0.000 4.908
Te 8.912 0.000 2.040
Te 7.898 0.000 6.339
Te 14.888 0.000 3.472
Te 13.909 0.000 7.714
```



(6)
Density functional theory data (PBE-GGA) for Li3Ho2UTe6 after structural relaxation.

Total magnetization   3.0 Bohr magnetons per cell
Formation energy (no corrections)   -1267 kJ/mol of formula units

```
12
Lattice="3.757 -6.506 0.000 3.757 6.506 0.000 -2.503 0.000 7.081" Properties=species:S:1:pos:R:3 pbc="T T T"
Li 0.000 0.000 0.000
Li 3.757 2.164 0.000
Li 3.757 -2.164 0.000
Ho 2.505 4.338 3.540
Ho 2.505 -4.338 3.540
U 2.505 0.000 3.540
Te 1.235 2.199 1.720
Te -0.035 0.000 5.363
Te 1.235 -2.199 1.720
Te 3.775 2.199 5.361
Te 5.045 0.000 1.718
Te 3.775 -2.199 5.361
```



(7)
Density functional theory data (PBE-GGA) for Li3HoU3Te8 after structural relaxation.

Total magnetization   8.0 Bohr magnetons per cell
Formation energy (no corrections)   -1254 kJ/mol of formula units

```
15
Lattice="4.320 2.494 7.119 -4.320 2.494 7.119 0.000 -4.989 7.119" Properties=species:S:1:pos:R:3 pbc="T T T"
Li -2.160 -1.247 7.119
Li -2.160 1.247 14.238
Li 0.000 2.494 7.119
Ho 0.000 0.000 10.678
U -4.320 0.000 10.678
U -2.160 1.247 3.559
U 2.160 1.247 3.559
Te 0.000 -2.490 8.863
Te -2.156 1.245 8.863
Te -2.156 -1.245 12.494
Te 0.000 0.000 5.417
Te 0.000 0.000 15.940
Te 2.156 1.245 8.863
Te 2.156 -1.245 12.494
Te 0.000 2.490 12.494
```



(8)
Density functional theory data (PBE-GGA) for Li3HoU2Te6 after structural relaxation.

Total magnetization   6.0 Bohr magnetons per cell
Formation energy (no corrections)   -1067 kJ/mol of formula units

```
12
Lattice="3.739 -6.476 0.000 3.739 6.476 0.000 -2.489 0.000 7.124" Properties=species:S:1:pos:R:3 pbc="T T T"
Li 0.000 0.000 0.000
Li 3.739 2.145 0.000
Li 3.739 -2.145 0.000
Ho 2.494 0.000 3.562
U 2.494 4.314 3.562
U 2.494 -4.314 3.562
Te 1.259 2.137 1.714
Te 0.025 0.000 5.404
Te 1.259 -2.137 1.714
Te 3.729 2.137 5.410
Te 4.963 0.000 1.720
Te 3.729 -2.137 5.410
```



(9)
Density functional theory data (PBE-GGA) for Li3Ho3UTe8 after structural relaxation.

Total magnetization   2.0 Bohr magnetons per cell
Formation energy (no corrections)   -1646 kJ/mol of formula units

```
15
Lattice="4.333 2.502 7.063 -4.333 2.502 7.063 0.000 -5.004 7.063" Properties=species:S:1:pos:R:3 pbc="T T T"
Li -2.167 -1.251 7.063
Li -2.167 1.251 14.126
Li 0.000 2.502 7.063
Ho -4.333 0.000 10.594
Ho -2.167 1.251 3.531
Ho 2.167 1.251 3.531
U 0.000 0.000 10.594
Te 0.000 -2.508 8.815
Te -2.172 1.254 8.815
Te -2.172 -1.254 12.374
Te 0.000 0.000 5.330
Te 0.000 0.000 15.858
Te 2.172 1.254 8.815
Te 2.172 -1.254 12.374
Te 0.000 2.508 12.374
```



(10)
Density functional theory data (PBE-GGA) for Li2HoUTe4 after structural relaxation.

Total magnetization   3.0 Bohr magnetons per cell
Formation energy (no corrections)   -776 kJ/mol of formula units

```
8
Lattice="7.503 0.000 0.000 0.000 4.319 0.000 -2.496 0.000 7.099" Properties=species:S:1:pos:R:3 pbc="T T T"
Li 0.000 0.000 0.000
Li 3.752 2.159 0.000
Ho -1.248 2.159 3.549
U 2.504 0.000 3.549
Te 1.223 2.159 1.709
Te -0.021 0.000 5.373
Te 5.028 0.000 1.726
Te 3.784 2.159 5.390
```



(11)
Density functional theory data (PBE-GGA) for LiY2HoTe5 after structural relaxation.

Total magnetization   0.0 Bohr magnetons per cell
Formation energy (no corrections)   -1076 kJ/mol of formula units

```
18
Lattice="2.161 -9.214 0.000 2.161 9.214 0.000 0.000 0.000 13.191" Properties=species:S:1:pos:R:3 pbc="T T T"
Li 2.161 8.165 6.595
Li 2.161 -8.165 0.000
Y 2.161 2.348 4.409
Y 2.161 1.944 9.503
Y 2.161 -1.944 2.908
Y 2.161 -2.348 11.005
Ho 2.161 3.632 0.593
Ho 2.161 -3.632 7.189
Te 2.161 9.168 10.814
Te 2.161 6.680 0.462
Te 2.161 5.741 5.012
Te 2.161 5.191 9.305
Te 2.161 0.850 1.469
Te 2.161 -0.850 8.065
Te 2.161 -5.191 2.710
Te 2.161 -5.741 11.607
Te 2.161 -6.680 7.058
Te 2.161 -9.168 4.218
```



(12)
Density functional theory data (PBE-GGA) for LiY2Ho3Te6 after structural relaxation.

Total magnetization   0.0 Bohr magnetons per cell
Formation energy (no corrections)   -1505 kJ/mol of formula units

```
12
Lattice="9.453 -2.165 0.000 9.453 2.165 0.000 -1.992 0.000 8.437" Properties=species:S:1:pos:R:3 pbc="T T T"
Li 0.000 0.000 0.000
Y 4.932 0.000 5.565
Y 11.983 0.000 2.872
Ho -0.996 0.000 4.219
Ho 5.917 0.000 1.426
Ho 10.997 0.000 7.011
Te 2.906 0.000 0.669
Te 1.944 0.000 4.937
Te 8.966 0.000 2.045
Te 7.949 0.000 6.393
Te 14.971 0.000 3.500
Te 14.008 0.000 7.768
```